(1)
Below is crystalline Pm2Pd at its relaxed geometry, with properties calculated at the GGA-PBE level.

Lattice parameters (Å, degrees): 6.7621 6.7621 6.7621 148.75 148.75 44.78
Closest atoms and distances in Å follow each position.
Sites, in units of the cell vectors:
Pm 0.1377 0.1377 0.0000  4 Pd 3.10, 1 Pm 3.44
Pm 0.8623 0.8623 0.0000  4 Pd 3.10, 1 Pm 3.44
Pd 0.5000 0.5000 0.0000  8 Pm 3.10

Summary:
**Energy above the lowest structure with this stoichiometry**: 63 meV/atom
**N(E_F)**: 3.975 states/eV per cell
**Size of the total moment**: 0.37 μB per cell

---

(2)
Below is crystalline Pm5Pd at its relaxed geometry, with properties calculated at the GGA-PBE level.

Lattice parameters (Å, degrees): 8.7051 8.7051 5.7083 90.00 90.00 155.21
Closest atoms and distances in Å follow each position.
Sites, in units of the cell vectors:
Pm 0.0000 0.0000 0.0000  10 Pm 3.40-3.74, 4 Pd 3.41
Pm 0.1425 0.8575 0.5000  2 Pd 3.06
Pm 0.3328 0.6672 0.0000  10 Pm 3.38-3.74
Pm 0.6672 0.3328 0.0000  10 Pm 3.38-3.74
Pm 0.8575 0.1425 0.5000  2 Pd 3.06
Pd 0.5000 0.5000 0.5000  8 Pm 3.06-3.41

Summary:
**Energy**: -29.60 eV/cell
**N(E_F)**: 9.431 states/eV per cell
**Size of the total moment**: 0.00 μB per cell

---

(3)
Below is crystalline Pm3Pd at its relaxed geometry, with properties calculated at the GGA-PBE level.

Lattice parameters (Å, degrees): 6.3399 6.3399 6.3399 138.41 138.41 60.27
Closest atoms and distances in Å follow each position.
Sites, in units of the cell vectors:
Pm 0.0000 0.0000 0.0000  4 Pd 3.18, 8 Pm 3.55
Pm 0.2500 0.7500 0.5000  8 Pm 3.18-3.55, 4 Pd 3.55
Pm 0.7500 0.2500 0.5000  8 Pm 3.18-3.55, 4 Pd 3.55
Pd 0.5000 0.5000 0.0000  12 Pm 3.18-3.55

Summary:
**Energy above the lowest structure with this stoichiometry**: 261 meV/atom
**N(E_F)**: 5.299 states/eV per cell
**Size of the total moment**: 0.00 μB per cell

---

(4)
Below is crystalline PmPd12 at its relaxed geometry, with properties calculated at the GGA-PBE level.

Lattice parameters (Å, degrees): 6.9703 6.9703 6.9703 98.25 98.25 135.49
Closest atoms and distances in Å follow each position.
Sites, in units of the cell vectors:
Pm 0.0000 0.0000 0.0000  20 Pd 3.20-3.49
Pd 0.0000 0.0000 0.5000  10 Pd 2.64-2.79
Pd 0.0000 0.3508 0.3508  9 Pd 2.72-2.92
Pd 0.0000 0.5000 0.0000  10 Pd 2.64-2.79
Pd 0.0000 0.6492 0.6492  9 Pd 2.72-2.92
Pd 0.2826 0.5000 0.7826  10 Pd 2.65-2.92
Pd 0.3508 0.0000 0.3508  9 Pd 2.72-2.92
Pd 0.5000 0.0000 0.0000  10 Pd 2.64-2.79
Pd 0.5000 0.2826 0.7826  10 Pd 2.65-2.92
Pd 0.5000 0.5000 0.5000  10 Pd 2.64-2.79
Pd 0.5000 0.7174 0.2174  10 Pd 2.65-2.92
Pd 0.6492 0.0000 0.6492  9 Pd 2.72-2.92
Pd 0.7174 0.5000 0.2174  10 Pd 2.65-2.92

Summary:
**Energy**: -69.82 eV/cell
**N(E_F)**: 19.504 states/eV per cell
**Size of the total moment**: 0.00 μB per cell

---

(5)
Below is crystalline Pm3Pd at its relaxed geometry, with properties calculated at the GGA-PBE level.

Lattice parameters (Å, degrees): 9.1890 9.1890 9.1890 96.43 96.43 140.89
Closest atoms and distances in Å follow each position.
Sites, in units of the cell vectors:
Pm 0.0930 0.4031 0.4984  2 Pd 3.13-3.14, 3 Pm 3.29-3.48
Pm 0.1072 0.2489 0.8572  4 Pd 3.04-3.17
Pm 0.2353 0.7337 0.9105  2 Pd 3.07
Pm 0.2663 0.1768 0.5015  2 Pd 3.07
Pm 0.3917 0.2500 0.1428  4 Pd 3.04-3.17
Pm 0.4055 0.9070 0.3102  2 Pd 3.13-3.14, 3 Pm 3.29-3.48
Pm 0.5969 0.0953 0.6898  2 Pd 3.13-3.14, 3 Pm 3.29-3.48
Pm 0.6752 0.7647 0.4985  2 Pd 3.07
Pm 0.7500 0.8928 0.1417  4 Pd 3.04-3.17
Pm 0.7511 0.6083 0.8583  4 Pd 3.04-3.17
Pm 0.8232 0.3248 0.0895  2 Pd 3.07
Pm 0.9047 0.5945 0.5016  2 Pd 3.13-3.14, 3 Pm 3.29-3.48
Pd 0.2496 0.4543 0.2025  8 Pm 3.04-3.17
Pd 0.2518 0.0471 0.7975  8 Pm 3.04-3.17
Pd 0.5457 0.7482 0.7953  8 Pm 3.04-3.17
Pd 0.9529 0.7504 0.2047  8 Pm 3.04-3.17

Summary:
**Energy above the lowest structure with this stoichiometry**: 49 meV/atom
**N(E_F)**: 25.095 states/eV per cell
**Size of the total moment**: 0.00 μB per cell

---

(6)
Below is crystalline Pm3Pd2 at its relaxed geometry, with properties calculated at the GGA-PBE level.

Lattice parameters (Å, degrees): 8.0397 8.0397 3.9853 90.00 90.00 90.00
Closest atoms and distances in Å follow each position.
Sites, in units of the cell vectors:
Pm 0.0000 0.0000 0.0000  4 Pd 3.17
Pm 0.1672 0.3328 0.5000  6 Pd 3.07-3.11
Pm 0.3328 0.8328 0.5000  6 Pd 3.07-3.11
Pm 0.5000 0.5000 0.0000  4 Pd 3.17
Pm 0.6672 0.1672 0.5000  6 Pd 3.07-3.11
Pm 0.8328 0.6672 0.5000  6 Pd 3.07-3.11
Pd 0.1273 0.6273 0.0000  1 Pd 2.90, 8 Pm 3.07-3.17
Pd 0.3727 0.1273 0.0000  1 Pd 2.90, 8 Pm 3.07-3.17
Pd 0.6273 0.8727 0.0000  1 Pd 2.90, 8 Pm 3.07-3.17
Pd 0.8727 0.3727 0.0000  1 Pd 2.90, 8 Pm 3.07-3.17

Summary:
**Energy above the lowest structure with this stoichiometry**: 0 meV/atom
**N(E_F)**: 7.981 states/eV per cell
**Size of the total moment**: 0.00 μB per cell

---

Q: Which of these has the highest size of the total moment?
A: Pm2Pd